Record 1
3
Lattice="0.0000 3.5116 3.5116 3.5116 0.0000 3.5116 3.5116 3.5116 0.0000" Properties=species:S:1:pos:R:3 comment="GGA-PBE SrLiTc, optimized geometry" formation_energy_ev_per_fu=4.3 mass_density_g_cm3=3.692 e_above_lowest_polymorph_ev_per_atom=0.674 space_group=F-43m pbc="T T T"
Sr 0.0000 0.0000 0.0000
Li 1.7558 1.7558 1.7558
Tc 5.2673 5.2673 5.2673

***

Record 2
4
Lattice="1.7349 1.0017 12.2934 -1.7349 1.0017 12.2934 0.0000 -2.0033 12.2934" Properties=species:S:1:pos:R:3 comment="GGA-PBE Sr2YTa, optimized geometry" formation_energy_ev_per_fu=3.3 mass_density_g_cm3=5.766 e_above_lowest_polymorph_ev_per_atom=0.263 space_group=R-3m pbc="T T T"
Sr 0.0000 0.0000 8.8598
Sr 0.0000 0.0000 28.0203
Y 0.0000 0.0000 0.0000
Ta 0.0000 0.0000 18.4401

***

Record 3
13
Lattice="9.1419 0.0000 0.0000 0.0000 4.1493 0.0000 -4.5237 0.0000 10.3464" Properties=species:S:1:pos:R:3 comment="GGA-PBE Pa3Tl2S8, optimized geometry" formation_energy_uncorrected_ev_per_atom=-1.318 mass_density_g_cm3=5.747 e_above_lowest_polymorph_ev_per_atom=0.003 space_group=P2/m pbc="T T T"
Pa 0.0000 0.0000 0.0000
Pa -0.8109 2.0746 3.5922
Pa 5.4291 2.0746 6.7543
Tl 0.8508 0.0000 7.2586
Tl 3.7673 0.0000 3.0879
S -2.7426 0.0000 8.4040
S -1.0905 2.0746 6.2682
S 1.0526 2.0746 1.3889
S 0.7472 0.0000 4.2367
S 3.8709 0.0000 6.1097
S 3.5655 2.0746 8.9575
S 5.7086 2.0746 4.0782
S 7.3607 0.0000 1.9424

***

Record 4
5
Lattice="3.6267 0.0000 0.0000 0.0000 3.6267 0.0000 0.0000 0.0000 3.8640" Properties=species:S:1:pos:R:3 comment="GGA-PBE TcPCO2, optimized geometry" formation_energy_uncorrected_ev_per_atom=1.020 mass_density_g_cm3=5.652 e_above_lowest_polymorph_ev_per_atom=0.499 space_group=P4/mmm pbc="T T T"
Tc 0.0000 0.0000 0.0000
P 1.8134 1.8134 0.0000
C 1.8134 1.8134 1.9320
O 0.0000 1.8134 1.9320
O 1.8134 0.0000 1.9320

***

Record 5
20
Lattice="5.8014 0.0000 0.0000 0.0000 8.5189 0.0000 0.0000 0.0000 4.1793" Properties=species:S:1:pos:R:3 comment="GGA-PBE MnNi5N4, optimized geometry" formation_energy_uncorrected_ev_per_atom=0.117 mass_density_g_cm3=6.503 space_group=Pmmn pbc="T T T"
Mn 1.4504 2.1297 0.9772
Mn 4.3511 6.3892 3.2021
Ni 0.2145 5.0374 0.8627
Ni 0.2145 7.7410 0.8627
Ni 1.4504 6.3892 2.8874
Ni 2.6862 5.0374 0.8627
Ni 2.6862 7.7410 0.8627
Ni 3.1152 0.7779 3.3166
Ni 3.1152 3.4815 3.3166
Ni 4.3511 2.1297 1.2919
Ni 5.5869 0.7779 3.3166
Ni 5.5869 3.4815 3.3166
N 0.1448 2.1297 2.1518
N 1.4504 0.5117 0.0888
N 1.4504 3.7478 0.0888
N 2.7559 2.1297 2.1518
N 3.0455 6.3892 2.0275
N 4.3511 4.7712 4.0905
N 4.3511 8.0072 4.0905
N 5.6566 6.3892 2.0275